(1)
4
Lattice="4.542 0.000 0.000 2.271 3.933 0.000 2.271 1.311 3.708" Properties=species:S:1:pos:R:3 comment="CdTc2As PBE-GGA relaxed" energy_ev_per_atom=-6.056 pbc="T T T"
As 4.542 2.622 1.854
Tc 0.000 0.000 0.000
Tc 2.271 1.311 0.927
Cd 6.813 3.933 2.781

---

(2)
5
Lattice="5.190 0.000 0.000 0.000 5.190 0.000 0.000 0.000 5.190" Properties=species:S:1:pos:R:3 comment="Cd3TcAs PBE-GGA relaxed" energy_ev_per_atom=-2.404 pbc="T T T"
As 0.000 0.000 0.000
Tc 2.595 2.595 2.595
Cd 0.000 2.595 0.000
Cd 0.000 0.000 2.595
Cd 2.595 0.000 0.000

---

(3)
4
Lattice="4.448 0.002 0.000 -0.004 4.448 0.000 0.000 0.000 3.186" Properties=species:S:1:pos:R:3 comment="CdTc2As PBE-GGA relaxed" energy_ev_per_atom=-6.122 pbc="T T T"
As 2.224 0.001 1.593
Tc 0.000 0.000 0.000
Tc 2.222 2.225 0.000
Cd -0.002 2.224 1.593

---

(4)
4
Lattice="-2.769 0.161 0.988 -0.996 -0.141 -2.768 -0.290 -8.160 0.519" Properties=species:S:1:pos:R:3 comment="CdTc2As PBE-GGA relaxed" energy_ev_per_atom=-6.514 pbc="T T T"
As -0.127 -3.588 0.228
Tc -0.012 -0.330 0.021
Tc -1.951 -1.899 -0.768
Cd -2.111 -6.402 -0.482

---

(5)
4
Lattice="-3.966 2.390 1.606 -2.741 -3.075 2.657 4.769 1.112 0.219" Properties=species:S:1:pos:R:3 comment="CdTc2As PBE-GGA relaxed" energy_ev_per_atom=-6.057 pbc="T T T"
As -3.354 -0.342 2.131
Tc 0.000 0.000 0.000
Tc -0.663 -1.153 2.503
Cd -1.276 1.580 1.978

---

(6)
4
Lattice="-2.778 -0.037 1.620 -0.471 -3.058 -0.876 3.539 -2.269 6.019" Properties=species:S:1:pos:R:3 comment="Cd2TcAs PBE-GGA relaxed" energy_ev_per_atom=-4.162 pbc="T T T"
As 0.829 -3.121 4.544
Tc 1.937 -1.242 3.294
Cd 3.474 -2.227 5.907
Cd -0.641 -2.178 2.045

---

We obtain DFT formation energy values of 0.518 1.148 0.452 0.060 0.517 0.049 eV/atom for the records listed above, in that order.